Entry 1:
The following is a PBE+U calculation of a relaxed structure of Zn2MoO6, from Alexandria via LeMat-Bulk.

As for the electronic total energy: -5.437 eV per atom. The symmetry is No. 136.

```
Zn2MoO6
1.0
4.7418 0.0000 0.0000
0.0000 4.7418 0.0000
0.0000 0.0000 9.2431
O Zn Mo
12 4 2
Cartesian
3.3529 3.3529 4.6215
1.3889 1.3889 4.6215
1.4530 1.4530 1.4281
3.2888 3.2888 1.4281
1.4530 1.4530 7.8150
3.2888 3.2888 7.8150
3.8239 0.9179 6.0496
3.7599 0.9820 0.0000
0.9179 3.8239 6.0496
3.8239 0.9179 3.1934
0.9820 3.7599 0.0000
0.9179 3.8239 3.1934
0.0000 0.0000 7.7192
2.3709 2.3709 6.1454
0.0000 0.0000 1.5238
2.3709 2.3709 3.0977
2.3709 2.3709 0.0000
0.0000 0.0000 4.6215
```

***

Entry 2:
The following is a PBE+U calculation of a relaxed structure of ZnMo3O, from Alexandria via LeMat-Bulk.

Its relative energy among the computed polymorphs is 0.000 eV/f.u. The symmetry is No. 221.

```
ZnMo3O
1.0
-0.0389 -1.1256 -3.9952
-3.8716 -1.4307 0.4408
-1.4966 3.7305 -1.0365
Mo Zn O
3 1 1
Cartesian
-1.9358 -0.7154 0.2204
-0.7483 1.8652 -0.5182
-0.0195 -0.5628 -1.9976
-2.7035 0.5871 -2.2954
0.0000 0.0000 0.0000
```

***

Entry 3:
The following is a PBE+U calculation of a relaxed structure of Zn2Mo3O8, from Alexandria via LeMat-Bulk.

Its relative energy among the computed polymorphs is 0.272 eV/f.u. The symmetry is No. 186.

```
Zn2Mo3O8
1.0
3.7962 3.4957 3.5837
-6.2189 0.2188 0.8669
0.6263 -7.1311 6.2927
Mo O Zn
6 16 4
Cartesian
2.5176 -1.1663 6.7787
-0.6446 -1.0551 7.2195
0.5873 -2.9439 4.9565
-1.3667 0.0848 1.3650
-4.5289 0.1961 1.8058
-2.5986 1.9736 3.6280
-3.5717 -4.9044 8.5675
0.2918 -3.3224 2.9318
-2.2279 -2.3084 7.3681
0.6049 -6.8880 6.0781
0.3391 -0.0562 2.4468
-0.8734 1.8028 4.6741
0.8934 -2.5560 7.0544
-4.1278 -4.0579 5.5746
-2.4880 -6.5659 6.5768
0.9469 0.2421 6.7319
-0.7899 -5.0023 8.1798
2.0305 -1.4194 4.7411
-0.7512 -1.3216 5.1289
-2.7581 -0.0827 3.0024
2.2390 1.6933 4.2403
-1.0154 -4.1674 5.1408
0.6371 0.3622 4.4793
1.0241 -4.0446 8.3680
-2.3882 -4.2957 6.7200
-2.6274 -1.5714 4.3160
```

***

Entry 4:
The following is a PBE+U calculation of a relaxed structure of ZnMo3O9, from Alexandria via LeMat-Bulk.

As for the electronic total energy: -6.617 eV per atom. The symmetry is No. 9.

```
ZnMo3O9
1.0
6.9622 0.0000 2.9297
3.0750 7.3428 2.4298
0.0545 0.0877 9.6078
O Zn Mo
18 2 6
Cartesian
7.2279 2.1947 4.9191
2.9028 2.2454 10.2840
2.5164 3.9381 3.0991
1.6411 3.7889 6.0262
4.4616 4.1293 5.4503
4.0925 1.4850 7.5579
4.6365 6.9238 4.8413
6.9580 0.1614 12.4881
6.0521 5.8729 7.3847
7.6208 3.6229 11.7278
7.1696 5.1126 4.6282
8.6835 7.2505 7.9505
6.9187 5.9100 10.1493
5.7110 3.2963 9.5180
5.3978 0.5018 10.0688
2.8970 5.1803 9.9349
1.4767 0.3106 6.8861
3.2307 1.4650 4.7150
3.4872 0.0658 6.2190
1.6424 3.7811 10.8030
7.2250 4.1715 10.1119
7.0405 0.4562 4.6740
5.7733 5.5169 5.6562
2.9558 3.2268 4.6630
3.1264 6.9420 10.0952
4.3336 1.8893 9.2749
```

***

Entry 5:
The following is a PBE+U calculation of a relaxed structure of Zn2Mo3O8, from Alexandria via LeMat-Bulk.

Its relative energy among the computed polymorphs is 0.000 eV/f.u. The symmetry is No. 64.

```
Zn2Mo3O8
1.0
-1.9745 -0.7006 -5.9463
4.1069 -4.8181 2.5461
-6.9211 -4.4104 2.8179
Zn O Mo
4 16 6
Cartesian
-2.8013 -7.0767 -1.5783
-1.0777 -1.9938 -2.7495
-3.7111 -7.9353 2.1672
-1.9875 -2.8524 0.9960
-6.5426 -5.6563 1.2303
-4.3632 -3.9886 -3.0321
-5.0873 -3.5687 2.1097
0.2985 -6.3604 -2.6920
-4.5479 -6.2941 -1.0905
1.2079 -6.0598 0.3128
-3.6171 -5.9798 1.9056
-1.1716 -3.9493 -2.4879
-1.3759 -6.2777 -0.4121
1.7539 -4.2728 -1.8126
2.7780 -3.9094 1.2717
-0.2408 -3.6350 0.5082
-5.9967 -3.8693 -0.8951
-7.5668 -6.0197 -1.8540
-0.4256 -5.9405 2.4498
-3.4128 -3.6514 -0.1701
-4.4478 -2.5555 -1.5642
-4.7594 -5.0155 0.5002
-5.7467 -5.3658 -2.4729
0.9579 -4.5633 1.8906
-0.0294 -4.9136 -1.0825
0.0000 0.0000 0.0000
```

***

Entry 6:
The following is a PBE+U calculation of a relaxed structure of ZnMo2O5, from Alexandria via LeMat-Bulk.

Its relative energy among the computed polymorphs is 0.707 eV/f.u. The symmetry is No. 59.

```
ZnMo2O5
1.0
3.9739 0.0000 0.0000
0.0000 7.7485 0.0000
0.0000 0.0000 11.3702
O Zn Mo
10 2 4
Cartesian
0.0000 7.3472 0.0000
1.9869 2.5244 3.4695
1.9869 2.5244 7.9007
0.0000 5.2241 2.2156
0.0000 0.3128 7.7884
1.9869 7.4356 9.2669
0.0000 0.3128 3.5818
1.9869 0.4013 5.6851
1.9869 7.4356 2.1033
0.0000 5.2241 9.1546
0.0000 4.7459 5.6851
1.9869 3.0026 0.0000
0.0000 6.8913 9.4875
1.9869 0.8572 3.8024
0.0000 6.8913 1.8827
1.9869 0.8572 7.5678
```

***

Entry 7:
The following is a PBE+U calculation of a relaxed structure of ZnMoO4, from Alexandria via LeMat-Bulk.

As for the electronic total energy: -6.239 eV per atom. The symmetry is No. 14.

```
ZnMoO4
1.0
-5.1821 0.2264 2.3070
4.6553 -0.5218 7.0975
0.5686 9.6124 0.3337
Zn O Mo
4 16 4
Cartesian
-0.2367 8.6635 2.7517
0.2785 0.6536 6.9866
-0.6769 5.5263 7.3502
0.7187 3.7908 2.3881
-0.6922 3.7395 0.9966
1.5131 8.4684 7.0348
1.1527 8.3504 4.1305
1.5930 5.5128 2.2247
-0.2976 3.2321 3.9473
3.1963 6.6923 5.4191
0.7132 8.0981 1.1534
-0.6714 1.2190 8.5848
0.7340 5.5776 8.7417
-1.1109 0.9667 5.6077
-1.4713 0.8486 2.7035
0.3394 6.0850 5.7910
-1.7020 7.4122 3.0359
-1.5512 3.8043 7.5135
-3.1545 2.6248 4.3191
1.7438 1.9048 6.7024
-3.4135 6.9023 3.1582
1.5562 7.3905 5.5834
-1.5144 1.9266 4.1549
3.4553 2.4147 6.5800
```

***

Entry 8:
The following is a PBE+U calculation of a relaxed structure of Zr3MoO, from Alexandria via LeMat-Bulk.

As for the electronic total energy: -8.279 eV per atom. The symmetry is No. 221.

```
Zr3MoO
1.0
4.5228 0.0000 0.0000
0.0000 4.5228 0.0000
0.0000 0.0000 4.5228
Zr Mo O
3 1 1
Cartesian
2.2614 0.0000 0.0000
0.0000 2.2614 0.0000
0.0000 0.0000 2.2614
2.2614 2.2614 2.2614
0.0000 0.0000 0.0000
```

***

Entry 9:
The following is a PBE+U calculation of a relaxed structure of ZrMoO3, from Alexandria via LeMat-Bulk.

As for the electronic total energy: -7.837 eV per atom. The symmetry is No. 221.

```
ZrMoO3
1.0
-3.0294 -2.1758 -1.7611
0.6121 -3.0472 2.7117
-2.7315 1.7303 2.5609
O Mo Zr
3 1 1
Cartesian
-1.5147 -1.0879 -0.8806
0.3061 -1.5236 1.3558
-1.3657 0.8651 1.2805
-2.5744 -1.7463 1.7557
0.0000 0.0000 0.0000
```

***

Entry 10:
The following is a PBE+U calculation of a relaxed structure of ZrMoO3, from Alexandria via LeMat-Bulk.

As for the electronic total energy: -7.409 eV per atom. The symmetry is No. 221.

```
ZrMoO3
1.0
4.0009 0.0000 0.0000
0.0000 4.0009 0.0000
0.0000 0.0000 4.0009
Mo Zr O
1 1 3
Cartesian
0.0000 0.0000 0.0000
2.0005 2.0005 2.0005
0.0000 2.0005 0.0000
2.0005 0.0000 0.0000
0.0000 0.0000 2.0005
```